Compound: Rb2CrCdO4
Source: Alexandria via LeMat-Bulk
Functional: GGA+U
Structure: relaxed

Values from the calculation:
- D(E_F): 0.00 states/eV/f.u.
- DFT total energy: -5.225 eV per atom

a = 6.1171 Å, b = 6.1171 Å, c = 8.1302 Å
α = 90.00°, β = 90.00°, γ = 90.00°
Closest atoms and distances in Å follow each position.
Space group I-4 (No. 82)
Asymmetric unit:
1 Rb 0.0000 0.0000 0.0000  4 O 2.81
2 Rb 0.0000 0.5000 0.2500  4 O 3.02
3 Cr 0.0000 0.5000 0.7500  4 O 1.81
4 Cd 0.0000 0.0000 0.5000  4 O 2.21
5 O 0.1323 0.7126 0.6307  1 Cr 1.81